# 1
# FeCo4Ni4

A relaxed FeCo4Ni4 crystal (PBE-GGA, the Alexandria database).

- Magnetization: 11.5 μB per formula unit
- ΔE_f: -14 meV/atom
- Crystal system: tetragonal

Unit cell a=7.4948 b=7.4948 c=3.5140 alpha=90.00 beta=90.00 gamma=90.00
Closest atoms and distances in Å follow each position.
Space group I4/mmm (No. 139)
Asymmetric unit:
Fe (0.0000, 0.0000, 0.0000)  4 Ni 2.49, 8 Co 2.50
Co (0.1681, 0.1681, 0.5000)  4 Co 2.47-2.52, 6 Ni 2.49, 2 Fe 2.50
Ni (0.0000, 0.3321, 0.0000)  6 Co 2.49, 1 Fe 2.49, 5 Ni 2.50-2.52

***

# 2
# In2SbIr

A relaxed In2SbIr crystal (PBE-GGA, the Alexandria database).

- Magnetization: 0.0 μB per formula unit
- Crystal system: tetragonal
- Formation energy from raw total energies: 0.30 eV per atom

Unit cell a=4.7809 b=4.7809 c=7.5129 alpha=90.00 beta=90.00 gamma=90.00
Closest atoms and distances in Å follow each position.
Space group I-4m2 (No. 119)
Asymmetric unit:
In (0.0000, 0.0000, 0.0000)  4 In 3.04, 4 Ir 3.04, 4 Sb 3.38
In (0.0000, 0.5000, 0.2500)  4 In 3.04, 4 Sb 3.04, 4 Ir 3.38
Sb (0.0000, 0.0000, 0.5000)  8 In 3.04-3.38, 4 Ir 3.04
Ir (0.0000, 0.5000, 0.7500)  8 In 3.04-3.38, 4 Sb 3.04

***

# 3
# HoTm4

A relaxed HoTm4 crystal (PBE-GGA, the Alexandria database).

- Magnetization: 0.0 μB per formula unit
- ΔE_f: 771 meV/atom
- Crystal system: cubic

Unit cell a=5.5395 b=5.5395 c=5.5395 alpha=90.00 beta=90.00 gamma=90.00
Closest atoms and distances in Å follow each position.
Space group Pm-3m (No. 221)
Asymmetric unit:
Ho (0.0000, 0.0000, 0.0000)  6 Tm 2.77
Tm (0.0000, 0.0000, 0.5000)  2 Ho 2.77
Tm (0.5000, 0.5000, 0.5000)  12 Tm 3.92

***

# 4
# Pm2Sm8Tm3

A relaxed Pm2Sm8Tm3 crystal (PBE-GGA, the Alexandria database).

- Magnetization: 0.0 μB per formula unit
- ΔE_f: 213 meV/atom
- Crystal system: monoclinic

Unit cell a=20.5707 b=7.6794 c=5.6352 alpha=90.00 beta=90.02 gamma=90.00
Closest atoms and distances in Å follow each position.
Space group C2/m (No. 12)
Asymmetric unit:
Pm (0.2399, 0.0000, 0.4993)  8 Sm 3.39-3.63
Sm (0.1042, 0.2937, 0.5001)  1 Tm 3.11, 1 Sm 3.17
Sm (0.1290, 0.0000, 0.9997)  2 Tm 3.44, 2 Pm 3.62-3.63, 4 Sm 3.64-3.65
Sm (0.1680, 0.5000, 0.0005)  2 Pm 3.39-3.40, 4 Sm 3.49
Tm (0.0000, 0.0000, 0.5000)  4 Sm 3.11
Tm (0.0000, 0.2857, 0.0000)  3 Tm 3.29-3.57, 6 Sm 3.44-3.54

***

# 5
# AcEuHoPb

A relaxed AcEuHoPb crystal (PBE-GGA, the Alexandria database).

- Magnetization: 8.3 μB per formula unit
- ΔE_f: -55 meV/atom
- Crystal system: cubic

Unit cell a=8.1050 b=8.1050 c=8.1050 alpha=90.00 beta=90.00 gamma=90.00
Closest atoms and distances in Å follow each position.
Space group F-43m (No. 216)
Asymmetric unit:
Ac (0.0000, 0.0000, 0.0000)  4 Eu 3.51, 4 Ho 3.51
Eu (0.2500, 0.2500, 0.2500)  4 Ac 3.51, 4 Pb 3.51
Ho (0.2500, 0.2500, 0.7500)  4 Ac 3.51, 4 Pb 3.51
Pb (0.0000, 0.0000, 0.5000)  4 Ho 3.51, 4 Eu 3.51

***

# 6
# BaNaPmTe3

A relaxed BaNaPmTe3 crystal (PBE-GGA, the Alexandria database).

- Magnetization: 0.0 μB per formula unit
- Crystal system: monoclinic
- Formation energy from raw total energies: -1.38 eV per atom

Unit cell a=9.4869 b=4.7017 c=10.3209 alpha=90.00 beta=105.54 gamma=90.00
Closest atoms and distances in Å follow each position.
Space group P2_1/m (No. 11)
Asymmetric unit:
Ba (0.2073, 0.2500, 0.2430)  7 Te 3.55-3.72
Na (0.0890, 0.2500, 0.5866)  4 Te 2.97-3.14, 2 Na 3.16
Pm (0.3245, 0.7500, 0.8427)  6 Te 3.17-3.23
Te (0.1047, 0.2500, 0.8778)  1 Na 2.97, 2 Pm 3.23
Te (0.2532, 0.7500, 0.5197)  3 Na 3.00-3.14, 1 Pm 3.22
Te (0.4495, 0.7500, 0.1602)  3 Pm 3.17-3.19, 2 Ba 3.55

***

Copy entry 5 word for word.
# AcEuHoPb

A relaxed AcEuHoPb crystal (PBE-GGA, the Alexandria database).

- Magnetization: 8.3 μB per formula unit
- ΔE_f: -55 meV/atom
- Crystal system: cubic

Unit cell a=8.1050 b=8.1050 c=8.1050 alpha=90.00 beta=90.00 gamma=90.00
Closest atoms and distances in Å follow each position.
Space group F-43m (No. 216)
Asymmetric unit:
Ac (0.0000, 0.0000, 0.0000)  4 Eu 3.51, 4 Ho 3.51
Eu (0.2500, 0.2500, 0.2500)  4 Ac 3.51, 4 Pb 3.51
Ho (0.2500, 0.2500, 0.7500)  4 Ac 3.51, 4 Pb 3.51
Pb (0.0000, 0.0000, 0.5000)  4 Ho 3.51, 4 Eu 3.51

***

Please write out number 5 again, unchanged.
# AcEuHoPb

A relaxed AcEuHoPb crystal (PBE-GGA, the Alexandria database).

- Magnetization: 8.3 μB per formula unit
- ΔE_f: -55 meV/atom
- Crystal system: cubic

Unit cell a=8.1050 b=8.1050 c=8.1050 alpha=90.00 beta=90.00 gamma=90.00
Closest atoms and distances in Å follow each position.
Space group F-43m (No. 216)
Asymmetric unit:
Ac (0.0000, 0.0000, 0.0000)  4 Eu 3.51, 4 Ho 3.51
Eu (0.2500, 0.2500, 0.2500)  4 Ac 3.51, 4 Pb 3.51
Ho (0.2500, 0.2500, 0.7500)  4 Ac 3.51, 4 Pb 3.51
Pb (0.0000, 0.0000, 0.5000)  4 Ho 3.51, 4 Eu 3.51

***

Number 5 is which compound?
AcEuHoPb

***

Among the records above, which one has the highest magnetization?
FeCo4Ni4